[1]
A relaxed structure of Re4TeSe8, computed with PBE.

a b c (Å): 11.0780 6.3944 9.4921
angles (deg): 90.00 112.97 90.00
With the nearest neighbours (Å) after each atom.
Space group C2/m (No. 12)
Unique sites:
1 Re 0.0000 0.0000 0.0000  6 Se 2.56-2.57
2 Re 0.0000 0.5000 0.0000  6 Se 2.55-2.56
3 Re 0.2500 0.2500 0.0000  6 Se 2.56-2.57
4 Te 0.0000 0.0000 0.5000  6 Se 3.19
5 Se 0.0156 0.2502 0.7976  3 Re 2.56
6 Se 0.2341 0.5000 0.2021  3 Re 2.55-2.56
7 Se 0.2353 0.0000 0.2053  3 Re 2.57

Calculated values
* N(E_F): 0.665 states/eV per atom
* ΔE_f (raw): 50.4 meV per atom
* crystal system: monoclinic
* total magnetic moment: 0.0 μB/cell
* V: 619.1 Å³ per cell

[2]
A relaxed structure of Re4TeSe, computed with PBE.

a b c (Å): 7.5405 7.5405 7.5405
angles (deg): 90.00 90.00 90.00
With the nearest neighbours (Å) after each atom.
Space group F-43m (No. 216)
Unique sites:
1 Re 0.1247 0.1247 0.1247  6 Re 2.66-2.67
2 Te 0.0000 0.0000 0.5000  12 Re 3.13, 4 Se 3.27
3 Se 0.2500 0.2500 0.7500  12 Re 3.13, 4 Te 3.27

Calculated values
* N(E_F): 0.753 states/eV per atom
* ΔE_f (raw): 1083.4 meV per atom
* crystal system: cubic
* total magnetic moment: 0.0 μB/cell
* V: 428.8 Å³ per cell

[3]
A relaxed structure of ReTe3Se, computed with PBE.

a b c (Å): 5.4157 5.4157 5.4157
angles (deg): 90.00 90.00 90.00
With the nearest neighbours (Å) after each atom.
Space group Pm-3m (No. 221)
Unique sites:
1 Re 0.0000 0.0000 0.0000  12 Te 3.83
2 Te 0.0000 0.5000 0.5000  2 Se 2.71
3 Se 0.5000 0.5000 0.5000  6 Te 2.71

Calculated values
* N(E_F): 0.806 states/eV per atom
* energy relative to the lowest polymorph listed for this composition: 831 meV per atom
* ΔE_f (raw): 1547.1 meV per atom
* crystal system: cubic
* total magnetic moment: 4.5 μB/cell
* V: 158.8 Å³ per cell

[4]
A relaxed structure of ReTeSe2, computed with PBE.

a b c (Å): 3.0316 3.0316 10.4565
angles (deg): 90.00 90.00 90.00
With the nearest neighbours (Å) after each atom.
Space group P4/mmm (No. 123)
Unique sites:
1 Re 0.0000 0.0000 0.0000  8 Se 2.66
2 Te 0.0000 0.0000 0.5000  4 Te 3.03
3 Se 0.5000 0.5000 0.1503  4 Re 2.66

Calculated values
* N(E_F): 0.461 states/eV per atom
* ΔE_f (raw): 64.8 meV per atom
* crystal system: tetragonal
* total magnetic moment: 0.0 μB/cell
* V: 96.1 Å³ per cell

[5]
A relaxed structure of Re3TeSe, computed with PBE.

a b c (Å): 4.6174 4.6174 4.6174
angles (deg): 90.00 90.00 90.00
With the nearest neighbours (Å) after each atom.
Space group Pm-3m (No. 221)
Unique sites:
1 Re 0.0000 0.0000 0.5000  2 Se 2.31
2 Te 0.5000 0.5000 0.5000  12 Re 3.27
3 Se 0.0000 0.0000 0.0000  6 Re 2.31

Calculated values
* N(E_F): 0.901 states/eV per atom
* ΔE_f (raw): 1793.8 meV per atom
* crystal system: cubic
* total magnetic moment: 0.8 μB/cell
* V: 98.4 Å³ per cell

[6]
A relaxed structure of ReTeSe2, computed with PBE.

a b c (Å): 5.5318 3.1918 10.7426
angles (deg): 90.00 99.35 90.00
With the nearest neighbours (Å) after each atom.
Space group C2/m (No. 12)
Unique sites:
1 Re 0.0000 0.0000 0.0000  6 Se 2.56
2 Te 0.0000 0.5000 0.5000  6 Te 3.19
3 Se 0.2194 0.5000 0.1672  3 Re 2.56

Calculated values
* N(E_F): 0.819 states/eV per atom
* ΔE_f (raw): 67.1 meV per atom
* crystal system: monoclinic
* total magnetic moment: 0.0 μB/cell
* V: 187.2 Å³ per cell